1.
Tl2CuAg2: relaxed, PBE-GGA.

## Properties
E_tot in eV per cell: -12.906
Size of the total moment in μB per atom: 0.000
DOS(E_F) in states/eV/f.u.: 1.21
ΔE to the lowest computed polymorph in eV/atom: 0.0687

abc: 3.799 3.799 8.621
angles: 77.27 77.27 90.00
Element x y z (fractional)
Tl1 0.405 0.405 0.190
Tl2 0.595 0.595 0.810
Cu1 0.000 0.000 0.000
Ag1 0.750 0.250 0.500
Ag2 0.250 0.750 0.500



2.
TlCuAg2: relaxed, PBE-GGA.

## Properties
E_tot in eV per cell: -11.106
Size of the total moment in μB per atom: 0.000
DOS(E_F) in states/eV/f.u.: 0.95

abc: 8.687 8.687 8.687
angles: 21.76 21.76 21.76
Element x y z (fractional)
Ag1 0.995 0.995 0.995
Ag2 0.244 0.244 0.244
Cu1 0.504 0.504 0.504
Tl1 0.757 0.757 0.757



3.
TlCuAg2: relaxed, PBE-GGA.

## Properties
E_tot in eV per cell: -11.339
Size of the total moment in μB per atom: 0.000
DOS(E_F) in states/eV/f.u.: 0.63

abc: 4.579 3.029 5.672
angles: 74.16 90.00 90.00
Element x y z (fractional)
Ag1 0.000 0.090 0.026
Ag2 0.000 0.410 0.474
Cu1 0.500 0.250 0.250
Tl1 0.500 0.750 0.750



4.
Tl2CuAg2: relaxed, PBE-GGA.

## Properties
E_tot in eV per cell: -26.500
Size of the total moment in μB per atom: 0.000
DOS(E_F) in states/eV/f.u.: 1.42
ΔE to the lowest computed polymorph in eV/atom: 0.0000

abc: 6.970 6.970 4.630
angles: 90.00 90.00 90.00
Element x y z (fractional)
Tl1 0.171 0.671 0.500
Tl2 0.671 0.829 0.500
Tl3 0.829 0.329 0.500
Tl4 0.329 0.171 0.500
Cu1 0.000 0.000 0.000
Cu2 0.500 0.500 0.000
Ag1 0.355 0.855 0.000
Ag2 0.855 0.645 0.000
Ag3 0.645 0.145 0.000
Ag4 0.145 0.355 0.000



5.
TlCuAg2: relaxed, PBE-GGA.

## Properties
E_tot in eV per cell: -11.405
Size of the total moment in μB per atom: 0.000
DOS(E_F) in states/eV/f.u.: 0.84

abc: 5.278 5.278 5.278
angles: 134.36 134.36 66.53
Element x y z (fractional)
Ag1 0.000 0.000 0.000
Ag2 0.500 0.500 0.000
Cu1 0.250 0.750 0.500
Tl1 0.750 0.250 0.500



6.
TlCuAg3: relaxed, PBE-GGA.

## Properties
E_tot in eV per cell: -12.821
Size of the total moment in μB per atom: 0.000
DOS(E_F) in states/eV/f.u.: 1.49
ΔE to the lowest computed polymorph in eV/atom: 0.0000

abc: 4.915 4.915 4.915
angles: 90.00 90.00 90.00
Element x y z (fractional)
Tl1 0.500 0.500 0.500
Cu1 0.000 0.000 0.000
Ag1 0.000 0.500 0.000
Ag2 0.000 0.000 0.500
Ag3 0.500 0.000 0.000



7.
TlCuAg4: relaxed, PBE-GGA.

## Properties
E_tot in eV per cell: -16.223
Size of the total moment in μB per atom: 0.000
DOS(E_F) in states/eV/f.u.: 3.34

abc: 5.564 5.564 5.564
angles: 60.00 60.00 60.00
Element x y z (fractional)
Tl1 0.000 0.000 0.000
Cu1 0.750 0.750 0.750
Ag1 0.874 0.375 0.375
Ag2 0.375 0.375 0.874
Ag3 0.375 0.874 0.375
Ag4 0.375 0.375 0.375



8.
TlCuAg2: relaxed, PBE-GGA.

## Properties
E_tot in eV per cell: -11.342
Size of the total moment in μB per atom: 0.000
DOS(E_F) in states/eV/f.u.: 1.76

abc: 4.706 4.706 4.706
angles: 60.00 60.00 60.00
Element x y z (fractional)
Ag1 0.000 0.000 0.000
Ag2 0.250 0.250 0.250
Cu1 0.500 0.500 0.500
Tl1 0.750 0.750 0.750



9.
TmTlCuAg: relaxed, PBE-GGA.

## Properties
E_tot in eV per cell: -14.421
Size of the total moment in μB per atom: 0.000
DOS(E_F) in states/eV/f.u.: 2.08

abc: 4.846 4.846 4.846
angles: 60.00 60.00 60.00
Element x y z (fractional)
Tl1 0.500 0.500 0.500
Tm1 0.000 0.000 0.000
Cu1 0.750 0.750 0.750
Ag1 0.250 0.250 0.250



10.
ZrTlCuAg: relaxed, PBE-GGA.

## Properties
E_tot in eV per cell: -17.616
Size of the total moment in μB per atom: 0.000
DOS(E_F) in states/eV/f.u.: 2.54

abc: 4.745 4.745 4.745
angles: 60.00 60.00 60.00
Element x y z (fractional)
Tl1 0.250 0.250 0.250
Cu1 0.500 0.500 0.500
Zr1 0.750 0.750 0.750
Ag1 0.000 0.000 0.000



11.
Tm2Cu9Ag: relaxed, PBE-GGA.

## Properties
E_tot in eV per cell: -49.835
Size of the total moment in μB per atom: 0.000
DOS(E_F) in states/eV/f.u.: 4.94

abc: 5.070 5.070 8.640
angles: 72.94 72.94 60.00
Element x y z (fractional)
Tm1 0.865 0.865 0.406
Tm2 0.135 0.135 0.594
Cu1 0.667 0.667 0.999
Cu2 0.333 0.333 0.001
Cu3 0.500 0.500 0.500
Cu4 0.416 0.416 0.247
Cu5 0.921 0.416 0.247
Cu6 0.416 0.921 0.247
Cu7 0.584 0.584 0.753
Cu8 0.584 0.079 0.753
Cu9 0.079 0.584 0.753
Ag1 0.000 0.000 0.000



12.
TmCu5Ag: relaxed, PBE-GGA.

## Properties
E_tot in eV per cell: -115.724
Size of the total moment in μB per atom: 0.000
DOS(E_F) in states/eV/f.u.: 3.03

abc: 5.013 8.105 10.346
angles: 90.00 90.00 90.00
Element x y z (fractional)
Tm1 0.250 0.245 0.934
Tm2 0.750 0.255 0.434
Tm3 0.250 0.745 0.566
Tm4 0.750 0.755 0.066
Cu1 0.250 0.590 0.017
Cu2 0.750 0.910 0.517
Cu3 0.250 0.090 0.483
Cu4 0.750 0.410 0.983
Cu5 0.750 0.314 0.754
Cu6 0.250 0.186 0.254
Cu7 0.750 0.814 0.746
Cu8 0.250 0.686 0.246
Cu9 0.250 0.945 0.104
Cu10 0.750 0.555 0.604
Cu11 0.250 0.445 0.396
Cu12 0.750 0.055 0.896
Cu13 0.997 0.432 0.186
Cu14 0.003 0.068 0.686
Cu15 0.503 0.932 0.314
Cu16 0.497 0.568 0.814
Cu17 0.003 0.568 0.814
Cu18 0.997 0.932 0.314
Cu19 0.497 0.068 0.686
Cu20 0.503 0.432 0.186
Ag1 0.250 0.865 0.861
Ag2 0.750 0.635 0.361
Ag3 0.250 0.365 0.639
Ag4 0.750 0.135 0.139